<i>
# CsYHf3

Crystalline CsYHf3 at its relaxed geometry (PBE, the Alexandria database).

Structure (POSCAR):
```
CsYHf3
1.0
5.536 0.000 0.000
0.000 5.536 0.000
0.000 0.000 5.536
Cs Y Hf
1 1 3
Cartesian
0.000 0.000 0.000 Cs
2.768 2.768 2.768 Y
0.000 2.768 2.768 Hf
2.768 0.000 2.768 Hf
2.768 2.768 0.000 Hf
```

Values from the calculation:
space-group type: Pm-3m

=====

<ii>
# CsYHf3

Crystalline CsYHf3 at its relaxed geometry (PBE, the Alexandria database).

Structure (POSCAR):
```
CsYHf3
1.0
5.286 0.000 0.000
0.000 5.286 0.000
0.000 0.000 5.286
Cs Y Hf
1 1 3
Cartesian
0.000 0.000 0.000 Cs
2.643 2.643 2.643 Y
0.000 0.000 2.643 Hf
0.000 2.643 0.000 Hf
2.643 0.000 0.000 Hf
```

Values from the calculation:
space-group type: Pm-3m

=====

What should be chosen as the least stable of them? Choose <ii>.

=====

<i>
# CsYHf2

Crystalline CsYHf2 at its relaxed geometry (PBE, the Alexandria database).

Structure (POSCAR):
```
CsYHf2
1.0
-2.246 2.246 11.607
2.246 -2.246 11.607
2.246 2.246 -11.607
Cs Y Hf
2 2 4
Cartesian
0.000 0.000 0.000 Cs
0.000 2.246 5.803 Cs
2.246 0.000 5.803 Y
0.000 0.000 11.607 Y
1.123 -1.065 8.705 Hf
1.181 1.123 2.902 Hf
1.123 3.311 -2.902 Hf
1.065 1.123 14.508 Hf
```

Values from the calculation:
space-group type: I-42d

=====

<ii>
# CsYHf2

Crystalline CsYHf2 at its relaxed geometry (PBE, the Alexandria database).

Structure (POSCAR):
```
CsYHf2
1.0
0.000 3.872 3.872
3.872 0.000 3.872
3.872 3.872 0.000
Cs Y Hf
1 1 2
Cartesian
0.000 0.000 0.000 Cs
3.872 3.872 3.872 Y
1.936 1.936 1.936 Hf
5.808 5.808 5.808 Hf
```

Values from the calculation:
space-group type: Fm-3m

=====

What should be chosen as the least stable of them? Choose <i>.

=====

<i>
# Cs2HfZn

Crystalline Cs2HfZn at its relaxed geometry (PBE, the Alexandria database).

Structure (POSCAR):
```
Cs2HfZn
1.0
0.000 4.555 4.555
4.555 0.000 4.555
4.555 4.555 0.000
Cs Hf Zn
2 1 1
Cartesian
2.277 2.277 2.277 Cs
6.832 6.832 6.832 Cs
0.000 0.000 0.000 Hf
4.555 4.555 4.555 Zn
```

Values from the calculation:
space-group type: Fm-3m

=====

<ii>
# Cs2HfZn

Crystalline Cs2HfZn at its relaxed geometry (PBE, the Alexandria database).

Structure (POSCAR):
```
Cs2HfZn
1.0
-6.984 6.984 2.629
6.984 -6.984 2.629
6.984 6.984 -2.629
Cs Hf Zn
4 2 2
Cartesian
-1.126 3.492 0.657 Cs
3.492 5.858 1.972 Cs
1.126 10.475 0.657 Cs
-3.492 8.109 1.972 Cs
6.984 0.000 1.314 Hf
0.000 0.000 2.629 Hf
0.000 0.000 0.000 Zn
0.000 6.984 1.314 Zn
```

Values from the calculation:
space-group type: I-42d

=====

What should be chosen as the least stable of them? Choose <i>.

=====

<i>
# CsHf3Zn

Crystalline CsHf3Zn at its relaxed geometry (PBE, the Alexandria database).

Structure (POSCAR):
```
CsHf3Zn
1.0
5.235 0.000 0.000
0.000 5.235 0.000
0.000 0.000 5.235
Cs Hf Zn
1 3 1
Cartesian
0.000 0.000 0.000 Cs
0.000 0.000 2.617 Hf
0.000 2.617 0.000 Hf
2.617 0.000 0.000 Hf
2.617 2.617 2.617 Zn
```

Values from the calculation:
space-group type: Pm-3m

=====

<ii>
# CsHf3Zn

Crystalline CsHf3Zn at its relaxed geometry (PBE, the Alexandria database).

Structure (POSCAR):
```
CsHf3Zn
1.0
5.173 0.000 0.000
0.000 5.173 0.000
0.000 0.000 5.173
Cs Hf Zn
1 3 1
Cartesian
0.000 0.000 0.000 Cs
0.000 2.586 2.586 Hf
2.586 0.000 2.586 Hf
2.586 2.586 0.000 Hf
2.586 2.586 2.586 Zn
```

Values from the calculation:
space-group type: Pm-3m

=====

What should be chosen as the least stable of them? Choose <i>.

=====

<i>
# CsHf2Zr

Crystalline CsHf2Zr at its relaxed geometry (PBE, the Alexandria database).

Structure (POSCAR):
```
CsHf2Zr
1.0
0.000 3.733 3.733
3.733 0.000 3.733
3.733 3.733 0.000
Cs Hf Zr
1 2 1
Cartesian
0.000 0.000 0.000 Cs
1.866 1.866 1.866 Hf
5.599 5.599 5.599 Hf
3.733 3.733 3.733 Zr
```

Values from the calculation:
space-group type: Fm-3m

=====

<ii>
# CsHf2Zr

Crystalline CsHf2Zr at its relaxed geometry (PBE, the Alexandria database).

Structure (POSCAR):
```
CsHf2Zr
1.0
-2.234 2.234 10.848
2.234 -2.234 10.848
2.234 2.234 -10.848
Cs Hf Zr
2 4 2
Cartesian
0.000 0.000 0.000 Cs
0.000 2.234 5.424 Cs
1.117 -1.031 8.136 Hf
1.203 1.117 2.712 Hf
1.117 3.265 -2.712 Hf
1.031 1.117 13.560 Hf
2.234 0.000 5.424 Zr
0.000 0.000 10.848 Zr
```

Values from the calculation:
space-group type: I-42d

=====

What should be chosen as the least stable of them? Choose <ii>.

=====

<i>
# Cs5Hg

Crystalline Cs5Hg at its relaxed geometry (PBE, the Alexandria database).

Structure (POSCAR):
```
Cs5Hg
1.0
-5.002 5.002 11.032
5.002 -5.002 11.032
5.002 5.002 -11.032
Cs Hg
10 2
Cartesian
0.000 0.000 0.000 Cs
6.755 1.754 -3.448 Cs
1.754 3.248 -3.448 Cs
6.755 1.754 3.448 Cs
1.754 3.248 3.448 Cs
0.000 0.000 11.032 Cs
3.248 1.754 7.584 Cs
-1.754 3.248 7.584 Cs
3.248 1.754 14.480 Cs
-1.754 3.248 14.480 Cs
0.000 0.000 5.516 Hg
0.000 0.000 16.548 Hg
```

Values from the calculation:
space-group type: I4/mcm

=====

<ii>
# Cs5Hg

Crystalline Cs5Hg at its relaxed geometry (PBE, the Alexandria database).

Structure (POSCAR):
```
Cs5Hg
1.0
3.594 -10.419 0.000
3.594 10.419 0.000
0.000 0.000 7.173
Cs Hg
5 1
Cartesian
0.000 0.000 0.000 Cs
3.594 7.288 3.586 Cs
3.594 3.148 0.000 Cs
3.594 -3.148 0.000 Cs
3.594 -7.288 3.586 Cs
3.594 0.000 3.586 Hg
```

Values from the calculation:
space-group type: Cmmm

=====

What should be chosen as the least stable of them? Choose <ii>.